Entry 1:
# NbWC3 PBE relaxed
# * density of states at the Fermi level: 0.71 states/eV per atom
# * energy above the lowest structure with this stoichiometry: 0.0 meV per atom
# * energy relative to the elements: 1.6498 eV per atom
# * final energy: -42.4 eV per formula unit
# * calculated density: 8.13 g/cm³
data_NbWC3
_space_group_name_H-M_alt 'P m -3 m'
_space_group_IT_number 221
_space_group_name_Hall '-P 4 2 3'
_cell_length_a 3.9973
_cell_length_b 3.9973
_cell_length_c 3.9973
_cell_angle_alpha 90.00
_cell_angle_beta 90.00
_cell_angle_gamma 90.00
loop_
_atom_site_label
_atom_site_type_symbol
_atom_site_fract_x
_atom_site_fract_y
_atom_site_fract_z
Nb1 Nb 0.0000 0.0000 0.0000
W1 W 0.5000 0.5000 0.5000
C1 C 0.0000 0.5000 0.5000

Entry 2:
# NiSb2Pb PBE relaxed
# * density of states at the Fermi level: 1.24 states/eV per atom
# * E_form (uncorrected): 0.45 eV per atom
# * final energy: -15.9 eV per formula unit
# * calculated density: 8.79 g/cm³
data_NiSb2Pb
_space_group_name_H-M_alt 'F -4 3 m'
_space_group_IT_number 216
_space_group_name_Hall 'F -4 2 3'
_cell_length_a 7.2756
_cell_length_b 7.2756
_cell_length_c 7.2756
_cell_angle_alpha 90.00
_cell_angle_beta 90.00
_cell_angle_gamma 90.00
loop_
_atom_site_label
_atom_site_type_symbol
_atom_site_fract_x
_atom_site_fract_y
_atom_site_fract_z
Ni1 Ni 0.0000 0.0000 0.0000
Sb1 Sb 0.0000 0.0000 0.5000
Sb2 Sb 0.2500 0.2500 0.2500
Pb1 Pb 0.2500 0.2500 0.7500

Entry 3:
# Tl2Cd6Ag PBE relaxed
# * density of states at the Fermi level: 0.39 states/eV per atom
# * energy relative to the elements: 0.0847 eV per atom
# * final energy: -12.3 eV per formula unit
# * calculated density: 8.90 g/cm³
data_Tl2Cd6Ag
_space_group_name_H-M_alt 'C 1 2/m 1'
_space_group_IT_number 12
_cell_length_a 15.4671
_cell_length_b 8.9314
_cell_length_c 3.2166
_cell_angle_alpha 90.00
_cell_angle_beta 90.19
_cell_angle_gamma 90.00
loop_
_space_group_symop_operation_xyz
'x,y,z'
'-x,-y,-z'
'-x,y,-z'
'x,-y,z'
'x+1/2,y+1/2,z'
'-x+1/2,-y+1/2,-z'
'-x+1/2,y+1/2,-z'
'x+1/2,-y+1/2,z'
loop_
_atom_site_label
_atom_site_type_symbol
_atom_site_fract_x
_atom_site_fract_y
_atom_site_fract_z
Tl1 Tl 0.1667 0.0000 0.0000
Cd1 Cd 0.0000 0.1749 0.5000
Cd2 Cd 0.1624 0.3375 0.4980
Ag1 Ag 0.0000 0.5000 0.0000

Entry 4:
# Li2AcSeO2 PBE relaxed
# * density of states at the Fermi level: 0.71 states/eV per atom
# * E_form (uncorrected): -1.93 eV per atom
# * final energy: -32.9 eV per formula unit
# * calculated density: 5.24 g/cm³
data_Li2AcSeO2
_space_group_name_H-M_alt 'P 1 21/m 1'
_space_group_IT_number 11
_cell_length_a 5.9111
_cell_length_b 5.5556
_cell_length_c 7.3377
_cell_angle_alpha 90.00
_cell_angle_beta 112.34
_cell_angle_gamma 90.00
loop_
_space_group_symop_operation_xyz
'x,y,z'
'-x,-y,-z'
'-x,y+1/2,-z'
'x,-y+1/2,z'
loop_
_atom_site_label
_atom_site_type_symbol
_atom_site_fract_x
_atom_site_fract_y
_atom_site_fract_z
Li1 Li 0.0498 0.2500 0.0328
Li2 Li 0.3417 0.7500 0.2439
Ac1 Ac 0.3755 0.7500 0.8066
Se1 Se 0.2352 0.2500 0.4808
O1 O 0.2745 0.5112 0.0442

Entry 5:
# MnZnCu2 PBE relaxed
# * density of states at the Fermi level: 0.52 states/eV per atom
# * energy relative to the elements: 0.1024 eV per atom
# * final energy: -18.2 eV per formula unit
# * calculated density: 8.10 g/cm³
data_MnZnCu2
_space_group_name_H-M_alt 'C 1 m 1'
_space_group_IT_number 8
_cell_length_a 4.5270
_cell_length_b 2.6163
_cell_length_c 8.6934
_cell_angle_alpha 90.00
_cell_angle_beta 99.79
_cell_angle_gamma 90.00
loop_
_space_group_symop_operation_xyz
'x,y,z'
'x,-y,z'
'x+1/2,y+1/2,z'
'x+1/2,-y+1/2,z'
loop_
_atom_site_label
_atom_site_type_symbol
_atom_site_fract_x
_atom_site_fract_y
_atom_site_fract_z
Mn1 Mn 0.0000 0.0000 0.0000
Zn1 Zn 0.1667 0.0000 0.5003
Cu1 Cu 0.0839 0.5000 0.7529
Cu2 Cu 0.4162 0.0000 0.2474

Entry 6:
# Zr4Ga2N PBE relaxed
# * density of states at the Fermi level: 1.05 states/eV per atom
# * energy above the lowest structure with this stoichiometry: 0.0 meV per atom
# * E_form (uncorrected): -0.72 eV per atom
# * final energy: -53.6 eV per formula unit
# * calculated density: 6.33 g/cm³
data_Zr4Ga2N
_space_group_name_H-M_alt 'I 4/m m m'
_space_group_IT_number 139
_space_group_name_Hall '-I 4 2'
_cell_length_a 4.2927
_cell_length_b 4.2927
_cell_length_c 14.7534
_cell_angle_alpha 90.00
_cell_angle_beta 90.00
_cell_angle_gamma 90.00
loop_
_atom_site_label
_atom_site_type_symbol
_atom_site_fract_x
_atom_site_fract_y
_atom_site_fract_z
Zr1 Zr 0.0000 0.0000 0.1641
Zr2 Zr 0.0000 0.5000 0.0000
Ga1 Ga 0.0000 0.0000 0.3585
N1 N 0.0000 0.0000 0.0000

Entry 7:
# AlCd3Br PBE relaxed
# * density of states at the Fermi level: 0.13 states/eV per atom
# * energy above the lowest structure with this stoichiometry: 0.0 meV per atom
# * E_form (uncorrected): 0.00 eV per atom
# * final energy: -8.1 eV per formula unit
# * calculated density: 4.96 g/cm³
data_AlCd3Br
_space_group_name_H-M_alt 'P m -3 m'
_space_group_IT_number 221
_space_group_name_Hall '-P 4 2 3'
_cell_length_a 5.2960
_cell_length_b 5.2960
_cell_length_c 5.2960
_cell_angle_alpha 90.00
_cell_angle_beta 90.00
_cell_angle_gamma 90.00
loop_
_atom_site_label
_atom_site_type_symbol
_atom_site_fract_x
_atom_site_fract_y
_atom_site_fract_z
Al1 Al 0.0000 0.0000 0.0000
Cd1 Cd 0.0000 0.0000 0.5000
Br1 Br 0.5000 0.5000 0.5000

Entry 8:
# LiMg2Te PBE relaxed
# * density of states at the Fermi level: 0.46 states/eV per atom
# * E_form (uncorrected): -0.31 eV per atom
# * final energy: -9.5 eV per formula unit
# * calculated density: 3.29 g/cm³
data_LiMg2Te
_space_group_name_H-M_alt 'P 4/m m m'
_space_group_IT_number 123
_space_group_name_Hall '-P 4 2'
_cell_length_a 3.9635
_cell_length_b 3.9635
_cell_length_c 5.8834
_cell_angle_alpha 90.00
_cell_angle_beta 90.00
_cell_angle_gamma 90.00
loop_
_atom_site_label
_atom_site_type_symbol
_atom_site_fract_x
_atom_site_fract_y
_atom_site_fract_z
Li1 Li 0.0000 0.0000 0.0000
Mg1 Mg 0.5000 0.5000 0.2483
Te1 Te 0.0000 0.0000 0.5000

Entry 9:
# RbSn2IrOs PBE relaxed
# * density of states at the Fermi level: 0.69 states/eV per atom
# * energy relative to the elements: 0.6170 eV per atom
# * final energy: -26.0 eV per formula unit
# * calculated density: 8.71 g/cm³
data_RbSn2IrOs
_space_group_name_H-M_alt 'P 4/m m m'
_space_group_IT_number 123
_space_group_name_Hall '-P 4 2'
_cell_length_a 5.1602
_cell_length_b 5.1602
_cell_length_c 5.0521
_cell_angle_alpha 90.00
_cell_angle_beta 90.00
_cell_angle_gamma 90.00
loop_
_atom_site_label
_atom_site_type_symbol
_atom_site_fract_x
_atom_site_fract_y
_atom_site_fract_z
Rb1 Rb 0.0000 0.0000 0.0000
Sn1 Sn 0.0000 0.5000 0.5000
Ir1 Ir 0.5000 0.5000 0.0000
Os1 Os 0.5000 0.5000 0.5000

Entry 10:
# Pu6HgPd5 PBE relaxed
# * density of states at the Fermi level: 4.30 states/eV per atom
# * energy relative to the elements: -0.3332 eV per atom
# * final energy: -116.3 eV per formula unit
# * calculated density: 13.55 g/cm³
data_Pu6HgPd5
_space_group_name_H-M_alt 'I m m m'
_space_group_IT_number 71
_space_group_name_Hall '-I 2 2'
_cell_length_a 4.8739
_cell_length_b 7.6250
_cell_length_c 14.4919
_cell_angle_alpha 90.00
_cell_angle_beta 90.00
_cell_angle_gamma 90.00
loop_
_atom_site_label
_atom_site_type_symbol
_atom_site_fract_x
_atom_site_fract_y
_atom_site_fract_z
Pu1 Pu 0.0000 0.2295 0.0000
Pu2 Pu 0.0000 0.2613 0.3258
Hg1 Hg 0.0000 0.0000 0.5000
Pd1 Pd 0.0000 0.0000 0.1681
Pd2 Pd 0.0000 0.5000 0.1546
Pd3 Pd 0.0000 0.5000 0.5000

Entry 11:
# TiSiH PBE relaxed
# * density of states at the Fermi level: 0.59 states/eV per atom
# * energy above the lowest structure with this stoichiometry: 0.0 meV per atom
# * final energy: -18.1 eV per formula unit
# * calculated density: 3.99 g/cm³
data_TiSiH
_space_group_name_H-M_alt 'P 4/n m m'
_space_group_IT_number 129
_cell_length_a 3.1380
_cell_length_b 3.1380
_cell_length_c 6.5100
_cell_angle_alpha 90.00
_cell_angle_beta 90.00
_cell_angle_gamma 90.00
loop_
_space_group_symop_operation_xyz
'x,y,z'
'-x,-y,-z'
'-y+1/2,x,z'
'y+1/2,-x,-z'
'-x+1/2,-y+1/2,z'
'x+1/2,y+1/2,-z'
'y,-x+1/2,z'
'-y,x+1/2,-z'
'x+1/2,-y,-z'
'-x+1/2,y,z'
'-y,-x,-z'
'y,x,z'
'-x,y+1/2,-z'
'x,-y+1/2,z'
'y+1/2,x+1/2,-z'
'-y+1/2,-x+1/2,z'
loop_
_atom_site_label
_atom_site_type_symbol
_atom_site_fract_x
_atom_site_fract_y
_atom_site_fract_z
Ti1 Ti 0.2500 0.2500 0.1802
Si1 Si 0.2500 0.2500 0.5966
H1 H 0.2500 0.7500 0.0000

Among the records above, which one has the lowest calculated density? LiMg2Te

Number 5 is which compound? MnZnCu2

Among the records above, which one has the lowest calculated density? LiMg2Te